(1)
RuPtSe: relaxed, GGA-PBEsol.

Properties
Space-group type: I4mm
Final energy (eV for the cell shown): -20.44
Crystal system: tetragonal

Cell lengths 5.931, 5.931, 5.931 Å; angles 151.90, 151.90, 40.16 degrees
Positions (direct):
Ru1 0.000 0.000 0.000
Pt1 0.332 0.332 0.000
Se1 0.631 0.631 0.000

---

(2)
Si2RuPtSe: relaxed, GGA-PBEsol.

Properties
Space-group type: P4/mmm
Final energy (eV for the cell shown): -25.09
Crystal system: tetragonal

Cell lengths 4.575, 4.575, 4.581 Å; angles 90.00, 90.00, 90.00 degrees
Positions (direct):
Si1 0.000 0.500 0.000
Si2 0.500 0.000 0.000
Ru1 0.000 0.000 0.500
Pt1 0.500 0.500 0.500
Se1 0.500 0.500 0.000

---

(3)
SiRu2Pt: relaxed, GGA-PBEsol.

Properties
Space-group type: C2/m
Final energy (eV for the cell shown): -32.64
Crystal system: monoclinic

Cell lengths 5.281, 5.281, 2.707 Å; angles 104.13, 104.13, 121.80 degrees
Positions (direct):
Si1 0.000 0.000 0.000
Ru1 0.000 0.500 0.500
Ru2 0.500 0.000 0.500
Pt1 0.500 0.500 0.000

---

(4)
SiRu2Pt: relaxed, GGA-PBEsol.

Properties
Space-group type: Imm2
Final energy (eV for the cell shown): -33.96
Crystal system: orthorhombic

Cell lengths 5.023, 5.023, 5.023 Å; angles 146.04, 129.72, 62.06 degrees
Positions (direct):
Si1 0.000 0.000 0.000
Ru1 0.503 0.503 0.000
Ru2 0.781 0.281 0.500
Pt1 0.220 0.720 0.500

---

(5)
SiRu2Pt: relaxed, GGA-PBEsol.

Properties
Space-group type: R3m
Final energy (eV for the cell shown): -33.75
Crystal system: trigonal

Cell lengths 8.369, 8.369, 8.369 Å; angles 18.96, 18.96, 18.96 degrees
Positions (direct):
Si1 0.000 0.000 0.000
Ru1 0.257 0.257 0.257
Ru2 0.506 0.506 0.506
Pt1 0.746 0.746 0.746

---

(6)
SiRu2Pt: relaxed, GGA-PBEsol.

Properties
Space-group type: P4mm
Final energy (eV for the cell shown): -33.90
Crystal system: tetragonal

Cell lengths 2.753, 2.753, 7.074 Å; angles 90.00, 90.00, 90.00 degrees
Positions (direct):
Si1 0.000 0.000 0.000
Ru1 0.000 0.000 0.526
Ru2 0.500 0.500 0.771
Pt1 0.500 0.500 0.233

---

Question: Which value of final energy does entry 5 give?
Answer: -33.75 eV for the cell shown